(1)
5
Lattice="-1.828 2.480 6.816 1.828 -2.480 6.816 1.828 2.480 -6.816" Properties=species:S:1:pos:R:3 comment="Li2CaMgCd (PBE, relaxed)" magnetic_moment_mub_per_atom=0.00 volume_a3_per_cell=124 n_ef_per_ev_fu=2.50 formation_enthalpy_0k_mev_per_atom=-113 pbc="T T T"
Li 0.000 0.000 0.000
Li 0.000 2.480 4.474
Ca 1.828 0.000 2.988
Mg 0.000 0.000 6.148
Cd 0.000 2.480 1.679

***

(2)
14
Lattice="4.020 2.321 6.677 -4.020 2.321 6.677 0.000 -4.642 6.677" Properties=species:S:1:pos:R:3 comment="NaPmEr4S8 (PBE, relaxed)" magnetic_moment_mub_per_atom=0.00 formation_energy_uncorrected_ev_per_atom=-1.948 volume_a3_per_cell=374 n_ef_per_ev_fu=0.00 pbc="T T T"
Na 0.000 0.000 0.000
Pm 0.000 0.000 12.641
Er -2.083 -1.203 9.190
Er 0.000 0.000 5.062
Er 2.083 -1.203 9.190
Er 0.000 2.405 9.190
S 0.000 -2.212 10.786
S -1.915 1.106 10.786
S 0.000 0.000 7.711
S -1.858 -1.073 14.362
S 1.915 1.106 10.786
S 0.000 0.000 17.326
S 1.858 -1.073 14.362
S 0.000 2.145 14.362

***

(3)
16
Lattice="5.049 -6.280 0.000 5.049 6.280 0.000 -4.355 0.000 6.376" Properties=species:S:1:pos:R:3 comment="NdAg2TeS4 (PBE, relaxed)" magnetic_moment_mub_per_atom=0.00 formation_energy_uncorrected_ev_per_atom=-0.570 volume_a3_per_cell=404 n_ef_per_ev_fu=1.60 pbc="T T T"
Nd 2.524 3.140 0.000
Nd 0.347 -3.140 3.188
Ag 0.000 0.000 0.000
Ag -2.177 0.000 3.188
Ag 0.347 3.140 3.188
Ag 2.524 -3.140 0.000
Te 5.049 0.000 0.000
Te 2.872 0.000 3.188
S -1.842 0.363 5.625
S 0.335 -0.363 2.437
S 2.644 2.649 2.842
S 5.277 2.649 0.346
S 0.466 -2.649 6.031
S 3.099 -2.649 3.534
S 5.408 0.363 3.939
S 7.585 -0.363 0.751

***

(4)
4
Lattice="3.270 0.000 0.000 0.000 4.522 0.000 -1.538 0.000 5.556" Properties=species:S:1:pos:R:3 comment="MgZnCd2 (PBE, relaxed)" magnetic_moment_mub_per_atom=0.00 volume_a3_per_cell=82 n_ef_per_ev_fu=1.00 de_polymorph_mev_per_atom=4 formation_enthalpy_0k_mev_per_atom=-17 pbc="T T T"
Mg 0.000 0.000 0.000
Zn 1.619 2.261 1.024
Cd 0.044 2.261 3.816
Cd 1.671 0.000 2.587